Mg10FeO11, optimized geometry, DFT PBE+U; ρ = 3.69 g/cm³; symmetry = No. 2; volume = 9.73 A^3/atom; total DFT energy (no corrections) = -6.04 eV/atom
1.0
5.218 0.000 0.000
-0.905 6.699 0.000
-1.753 -2.285 6.121
Mg Fe O
10 1 11
Direct
0.047 0.409 0.184 Mg
0.137 0.227 0.544 Mg
0.227 0.046 0.909 Mg
0.321 0.864 0.273 Mg
0.409 0.682 0.639 Mg
0.591 0.318 0.361 Mg
0.679 0.136 0.727 Mg
0.773 0.954 0.091 Mg
0.863 0.773 0.456 Mg
0.953 0.591 0.816 Mg
0.500 0.500 0.000 Fe
0.000 0.500 0.500 O
0.089 0.318 0.863 O
0.182 0.136 0.227 O
0.272 0.956 0.591 O
0.359 0.778 0.953 O
0.453 0.594 0.326 O
0.547 0.406 0.674 O
0.641 0.222 0.047 O
0.728 0.044 0.409 O
0.818 0.864 0.773 O
0.911 0.682 0.137 O